A relaxed structure of Li2CdGa3. Source: Alexandria via LeMat-Bulk, functional PBE.

```
12
Lattice="0.000 4.516 7.840 3.088 0.000 7.840 3.088 4.516 0.000" Properties=species:S:1:pos:R:3 pbc="T T T"
Li 4.636 4.516 7.840
Li 1.544 2.258 3.920
Li 4.632 6.773 11.759
Li 1.540 4.516 7.840
Cd 3.088 4.516 5.224
Cd 3.088 4.516 10.455
Ga 3.088 4.516 2.535
Ga 3.088 2.198 6.571
Ga 3.088 2.198 9.108
Ga 3.088 6.834 6.571
Ga 3.088 6.834 9.108
Ga 3.088 4.516 13.144
```

Results
Its density of states at the Fermi level is 1.1 states/eV/f.u. The calculation puts the energy above the most stable polymorph in this dataset at 0.000 eV/f.u. The crystal system is orthorhombic. Its space-group type is No. 69. The calculation puts the total energy at -2.515 eV/atom. Its formation energy is -0.2110 eV per atom.